Below is a relaxed structure of Y2HgF, with properties calculated at the PBE level.

Unit cell a=7.4254 b=7.4254 c=7.4254 alpha=37.32 beta=37.32 gamma=37.32
Fractional coordinates of all 4 atoms:
Y (0.1056, 0.1056, 0.1056)
Y (0.8944, 0.8944, 0.8944)
Hg (0.5000, 0.5000, 0.5000)
F (0.0000, 0.0000, 0.0000)

Output
Calculated total energy = -20.4 eV per cell
E_form (uncorrected) = -1.333 eV/atom
Space group = R-3m, No. 166
N(E_F) = 1.332 states/eV per atom

=====

Below is a relaxed structure of Ac4Tl2InAg, with properties calculated at the PBE level.

Unit cell a=10.0910 b=10.0910 c=10.0910 alpha=33.10 beta=33.10 gamma=33.10
Fractional coordinates of all 8 atoms:
Ac (0.1220, 0.1220, 0.1220)
Ac (0.3716, 0.3716, 0.3716)
Ac (0.6284, 0.6284, 0.6284)
Ac (0.8780, 0.8780, 0.8780)
Tl (0.2488, 0.2488, 0.2488)
Tl (0.7512, 0.7512, 0.7512)
In (0.5000, 0.5000, 0.5000)
Ag (0.0000, 0.0000, 0.0000)

Output
Calculated total energy = -29.4 eV per cell
Calculated formation energy = -0.332 eV/atom
Space group = R-3m, No. 166
N(E_F) = 1.337 states/eV per atom

=====

Below is a relaxed structure of CaScCl3, with properties calculated at the PBE level.

Unit cell a=5.0612 b=5.0612 c=5.0612 alpha=90.00 beta=90.00 gamma=90.00
Fractional coordinates of all 5 atoms:
Ca (0.0000, 0.0000, 0.0000)
Sc (0.5000, 0.5000, 0.5000)
Cl (0.0000, 0.5000, 0.5000)
Cl (0.5000, 0.0000, 0.5000)
Cl (0.5000, 0.5000, 0.0000)

Output
Calculated total energy = -21.1 eV per cell
E_form (uncorrected) = -1.440 eV/atom
Space group = Pm-3m, No. 221
N(E_F) = 1.059 states/eV per atom

=====

Below is a relaxed structure of CePm3Pb4, with properties calculated at the PBE level.

Unit cell a=8.3932 b=8.3932 c=3.7761 alpha=90.00 beta=90.00 gamma=100.81
Fractional coordinates of all 8 atoms:
Ce (0.0000, 0.0000, 0.0000)
Pm (0.0000, 0.5000, 0.5000)
Pm (0.5000, 0.0000, 0.5000)
Pm (0.5000, 0.5000, 0.0000)
Pb (0.2495, 0.7505, 0.0000)
Pb (0.2497, 0.2497, 0.5000)
Pb (0.7503, 0.7503, 0.5000)
Pb (0.7505, 0.2495, 0.0000)

Output
Calculated total energy = -38.3 eV per cell
Calculated formation energy = -0.409 eV/atom
Space group = Cmmm, No. 65
N(E_F) = 1.187 states/eV per atom

=====

Below is a relaxed structure of Cr2RuW, with properties calculated at the PBE level.

Unit cell a=4.9292 b=4.9292 c=2.6540 alpha=100.33 beta=100.33 gamma=116.30
Fractional coordinates of all 4 atoms:
Cr (0.0000, 0.5000, 0.0000)
Cr (0.5000, 0.0000, 0.0000)
Ru (0.0000, 0.0000, 0.5000)
W (0.5000, 0.5000, 0.5000)

Output
Calculated total energy = -40.7 eV per cell
Calculated formation energy = 0.190 eV/atom
Space group = C2/m, No. 12
N(E_F) = 1.303 states/eV per atom

=====

Below is a relaxed structure of Li2Cu3Au8, with properties calculated at the PBE level.

Unit cell a=7.0427 b=7.0427 c=4.6080 alpha=104.14 beta=104.14 gamma=80.74
Fractional coordinates of all 13 atoms:
Li (0.1923, 0.1923, 0.3613)
Li (0.8077, 0.8077, 0.6387)
Cu (0.2541, 0.7459, 0.0000)
Cu (0.5000, 0.5000, 0.5000)
Cu (0.7459, 0.2541, 0.0000)
Au (0.0774, 0.0774, 0.8109)
Au (0.1158, 0.5803, 0.3684)
Au (0.3545, 0.3545, 0.9028)
Au (0.4197, 0.8842, 0.6316)
Au (0.5803, 0.1158, 0.3684)
Au (0.6455, 0.6455, 0.0972)
Au (0.8842, 0.4197, 0.6316)
Au (0.9226, 0.9226, 0.1891)

Output
Calculated total energy = -43.9 eV per cell
Calculated formation energy = -0.118 eV/atom
Space group = C2/m, No. 12
N(E_F) = 0.254 states/eV per atom

=====

Below is a relaxed structure of Ce2Fe2C3, with properties calculated at the PBE level.

Unit cell a=5.2712 b=5.2712 c=5.5759 alpha=102.04 beta=102.04 gamma=38.27
Fractional coordinates of all 7 atoms:
Ce (0.1024, 0.1024, 0.3213)
Ce (0.8976, 0.8976, 0.6787)
Fe (0.3357, 0.3357, 0.0964)
Fe (0.6643, 0.6643, 0.9036)
C (0.2085, 0.2085, 0.7774)
C (0.5000, 0.5000, 0.0000)
C (0.7915, 0.7915, 0.2226)

Output
Calculated total energy = -58.0 eV per cell
Calculated formation energy = -0.214 eV/atom
Space group = C2/m, No. 12
N(E_F) = 1.083 states/eV per atom

=====

Below is a relaxed structure of MnCuW2, with properties calculated at the PBE level.

Unit cell a=8.9327 b=8.9327 c=8.9327 alpha=17.60 beta=17.60 gamma=17.60
Fractional coordinates of all 4 atoms:
Mn (0.0000, 0.0000, 0.0000)
Cu (0.5000, 0.5000, 0.5000)
W (0.2533, 0.2533, 0.2533)
W (0.7467, 0.7467, 0.7467)

Output
Calculated total energy = -37.5 eV per cell
Calculated formation energy = 0.414 eV/atom
Space group = R-3m, No. 166
N(E_F) = 1.518 states/eV per atom

=====

Below is a relaxed structure of Ga3SiCl, with properties calculated at the PBE level.

Unit cell a=4.9843 b=4.9843 c=4.9843 alpha=90.00 beta=90.00 gamma=90.00
Fractional coordinates of all 5 atoms:
Ga (0.0000, 0.0000, 0.5000)
Ga (0.0000, 0.5000, 0.0000)
Ga (0.5000, 0.0000, 0.0000)
Si (0.0000, 0.0000, 0.0000)
Cl (0.5000, 0.5000, 0.5000)

Output
Calculated total energy = -15.7 eV per cell
E_form (uncorrected) = 0.133 eV/atom
Space group = Pm-3m, No. 221
N(E_F) = 0.406 states/eV per atom

=====

Below is a relaxed structure of EuThCdGa, with properties calculated at the PBE level.

Unit cell a=5.3644 b=5.3644 c=5.3644 alpha=60.00 beta=60.00 gamma=60.00
Fractional coordinates of all 4 atoms:
Eu (0.0000, 0.0000, 0.0000)
Th (0.5000, 0.5000, 0.5000)
Cd (0.2500, 0.2500, 0.2500)
Ga (0.7500, 0.7500, 0.7500)

Output
Calculated total energy = -22.7 eV per cell
Calculated formation energy = -0.257 eV/atom
Space group = F-43m, No. 216
N(E_F) = 0.962 states/eV per atom

=====

Below is a relaxed structure of SmMgBe2Au5, with properties calculated at the PBE level.

Unit cell a=4.6537 b=4.6537 c=7.4254 alpha=90.00 beta=90.00 gamma=90.00
Fractional coordinates of all 9 atoms:
Sm (0.0000, 0.0000, 0.0000)
Mg (0.0000, 0.0000, 0.5000)
Be (0.5000, 0.5000, 0.3363)
Be (0.5000, 0.5000, 0.6637)
Au (0.0000, 0.5000, 0.2806)
Au (0.0000, 0.5000, 0.7194)
Au (0.5000, 0.0000, 0.2806)
Au (0.5000, 0.0000, 0.7194)
Au (0.5000, 0.5000, 0.0000)

Output
Calculated total energy = -33.5 eV per cell
Calculated formation energy = -0.373 eV/atom
Space group = P4/mmm, No. 123
N(E_F) = 0.366 states/eV per atom

=====

Below is a relaxed structure of NaLi2ScBr6, with properties calculated at the PBE level.

Unit cell a=7.5632 b=7.5632 c=7.5632 alpha=54.78 beta=54.78 gamma=54.78
Fractional coordinates of all 10 atoms:
Na (0.0000, 0.0000, 0.0000)
Li (0.3016, 0.3016, 0.3016)
Li (0.8084, 0.8084, 0.8084)
Sc (0.4893, 0.4893, 0.4893)
Br (0.0874, 0.6898, 0.4309)
Br (0.2332, 0.5702, 0.8847)
Br (0.4309, 0.0874, 0.6898)
Br (0.5702, 0.8847, 0.2332)
Br (0.6898, 0.4309, 0.0874)
Br (0.8847, 0.2332, 0.5702)

Output
Calculated total energy = -37.4 eV per cell
E_form (uncorrected) = -1.588 eV/atom
Space group = R3, No. 146
N(E_F) = 0.000 states/eV per atom

=====

Among the records above, which one has the lowest N(E_F)?
NaLi2ScBr6

=====

Which value of calculated total energy does entry 7 give?
-58.0 eV per cell